(1)
BaPr2Hf | GGA-PBE | relaxed

As for the space group: R-3m, No. 166. The value obtained for the total magnetization is 0.00 μB per atom. For the formation energy, the calculation gives 13.50 kcal/mol of atoms. As for the calculated total energy: -19.1 eV/cell.

Structure (POSCAR):
```
BaPr2Hf
1.0
3.489 0.000 0.000
1.745 3.022 0.000
1.745 1.007 13.112
Pr Hf Ba
2 1 1
direct
0.078 0.078 0.767
0.922 0.922 0.233
0.000 0.000 0.000
0.500 0.500 0.500
```

(2)
CoNi2Os | GGA-PBE | relaxed

As for the space group: P4/mmm, No. 123. The value obtained for the total magnetization is 0.58 μB per atom. For the formation energy, the calculation gives 4.66 kcal/mol of atoms. As for the calculated total energy: -29.1 eV/cell. Its energy relative to the lowest polymorph listed for this composition is 0.103 eV/atom.

Structure (POSCAR):
```
CoNi2Os
1.0
-0.688 -3.268 -1.295
1.948 -1.452 2.630
-2.995 -0.204 2.106
Co Ni Os
1 2 1
direct
0.000 0.500 0.500
0.000 0.000 0.000
0.500 0.500 0.000
0.500 0.000 0.500
```

(3)
Zr2InPt | GGA-PBE | relaxed

As for the space group: P4/mmm, No. 123. The value obtained for the total magnetization is 0.00 μB per atom. For the formation energy, the calculation gives -13.36 kcal/mol of atoms. As for the calculated total energy: -28.2 eV/cell.

Structure (POSCAR):
```
Zr2InPt
1.0
-0.656 -1.403 4.026
1.008 -4.005 -1.232
4.134 0.752 0.936
In Pt Zr
1 1 2
direct
0.500 0.000 0.500
0.000 0.500 0.500
0.000 0.000 0.000
0.500 0.500 0.000
```

(4)
Na6Sr2Li | GGA-PBE | relaxed

As for the space group: C2/m, No. 12. The value obtained for the total magnetization is 0.00 μB per atom. For the formation energy, the calculation gives 0.83 kcal/mol of atoms. As for the calculated total energy: -12.9 eV/cell.

Structure (POSCAR):
```
Na6Sr2Li
1.0
7.702 -0.047 -0.027
0.027 7.260 0.005
0.027 3.622 6.293
Na Sr Li
6 2 1
direct
0.327 0.346 0.828
0.326 0.828 0.828
0.327 0.828 0.346
0.673 0.654 0.172
0.674 0.172 0.172
0.673 0.172 0.654
0.884 0.666 0.666
0.116 0.334 0.334
0.000 0.000 0.000
```

(5)
Pr2Dy2Ho4Tm | GGA-PBE | relaxed

As for the space group: C2/m, No. 12. The value obtained for the total magnetization is 0.00 μB per atom. For the formation energy, the calculation gives 0.01 kcal/mol of atoms. As for the calculated total energy: -41.5 eV/cell.

Structure (POSCAR):
```
Pr2Dy2Ho4Tm
1.0
3.599 0.000 0.000
-1.799 9.315 -0.497
0.000 -3.676 8.822
Pr Dy Ho Tm
2 2 4 1
direct
0.335 0.671 0.001
0.665 0.329 0.999
0.853 0.706 0.338
0.147 0.294 0.662
0.815 0.630 0.664
0.185 0.370 0.336
0.520 0.039 0.335
0.480 0.961 0.665
0.000 0.000 0.000
```

(6)
HgC3I | GGA-PBE | relaxed

As for the space group: Pm-3m, No. 221. For the formation energy from raw total energies, the calculation gives 3.412 eV per atom. The value obtained for the total magnetization is 0.67 μB per atom. As for the calculated total energy: -12.5 eV/cell. Its energy relative to the lowest polymorph listed for this composition is 0.000 eV/atom.

Structure (POSCAR):
```
HgC3I
1.0
-3.342 2.814 0.890
-2.802 -3.448 0.379
0.927 -0.275 4.353
I C Hg
1 3 1
direct
0.500 0.500 0.500
0.000 0.500 0.000
0.000 0.000 0.500
0.500 0.000 0.000
0.000 0.000 0.000
```

(7)
Ca3Ag2Pd3 | GGA-PBE | relaxed

As for the space group: Cmcm, No. 63. The value obtained for the total magnetization is 0.00 μB per atom. For the formation energy, the calculation gives -10.48 kcal/mol of atoms. As for the calculated total energy: -61.8 eV/cell.

Structure (POSCAR):
```
Ca3Ag2Pd3
1.0
4.412 0.000 0.000
-2.206 4.885 0.000
0.000 0.000 15.866
Ca Ag Pd
6 4 6
direct
0.644 0.287 0.044
0.356 0.713 0.544
0.644 0.287 0.456
0.356 0.713 0.956
0.541 0.082 0.250
0.459 0.918 0.750
0.734 0.468 0.652
0.266 0.532 0.152
0.734 0.468 0.848
0.266 0.532 0.348
0.947 0.894 0.088
0.053 0.106 0.588
0.947 0.894 0.412
0.053 0.106 0.912
0.837 0.674 0.250
0.163 0.326 0.750
```

(8)
Ce2SnPb | GGA-PBE | relaxed

As for the space group: P4/mmm, No. 123. The value obtained for the total magnetization is 0.56 μB per atom. For the formation energy, the calculation gives -11.38 kcal/mol of atoms. As for the calculated total energy: -21.6 eV/cell. Its energy relative to the lowest polymorph listed for this composition is 0.000 eV/atom.

Structure (POSCAR):
```
Ce2SnPb
1.0
-3.522 -0.409 -0.075
0.273 -1.794 -3.046
0.805 -7.774 4.650
Pb Sn Ce
1 1 2
direct
0.500 0.500 0.500
0.500 0.500 0.000
0.000 0.000 0.758
0.000 0.000 0.242
```

(9)
Al2AgGeS | GGA-PBE | relaxed

As for the space group: P4/mmm, No. 123. For the formation energy from raw total energies, the calculation gives 0.519 eV per atom. The value obtained for the total magnetization is 0.00 μB per atom. As for the calculated total energy: -16.5 eV/cell. Its energy relative to the lowest polymorph listed for this composition is 0.029 eV/atom.

Structure (POSCAR):
```
Al2AgGeS
1.0
-0.966 -1.966 4.309
4.882 -0.645 0.800
0.242 4.371 2.048
Ge S Ag Al
1 1 1 2
direct
0.000 0.500 0.000
0.500 0.500 0.500
0.000 0.000 0.000
0.000 0.000 0.500
0.500 0.000 0.000
```

(10)
SmThZr | GGA-PBE | relaxed

As for the space group: I4mm, No. 107. The value obtained for the total magnetization is 0.00 μB per atom. For the formation energy, the calculation gives 2.65 kcal/mol of atoms. As for the calculated total energy: -20.3 eV/cell. Its energy relative to the lowest polymorph listed for this composition is 0.000 eV/atom.

Structure (POSCAR):
```
SmThZr
1.0
3.426 0.000 0.000
0.000 3.426 0.000
-1.713 -1.713 7.486
Zr Sm Th
1 1 1
direct
0.331 0.331 0.662
0.994 0.994 0.988
0.675 0.675 0.350
```

(11)
TbZn2I6 | GGA-PBE | relaxed

As for the space group: C2/c, No. 15. For the formation energy from raw total energies, the calculation gives -0.732 eV per atom. The value obtained for the total magnetization is 0.00 μB per atom. As for the calculated total energy: -46.1 eV/cell.

Structure (POSCAR):
```
TbZn2I6
1.0
-5.508 5.899 3.670
-7.217 1.366 -6.835
-6.813 -5.534 4.860
Tb Zn I
2 4 12
direct
0.250 0.079 0.921
0.750 0.921 0.079
0.247 0.599 0.780
0.253 0.220 0.401
0.753 0.401 0.220
0.747 0.780 0.599
0.545 0.619 0.655
0.955 0.345 0.381
0.455 0.381 0.345
0.045 0.655 0.619
0.761 0.954 0.367
0.739 0.633 0.046
0.239 0.046 0.633
0.261 0.367 0.954
0.129 0.806 0.995
0.371 0.005 0.194
0.871 0.194 0.005
0.629 0.995 0.806
```

(12)
CrGa3Ir4 | GGA-PBE | relaxed

As for the space group: Pmma, No. 51. The value obtained for the total magnetization is 0.31 μB per atom. For the formation energy, the calculation gives -7.30 kcal/mol of atoms. As for the calculated total energy: -113.4 eV/cell.

Structure (POSCAR):
```
CrGa3Ir4
1.0
-2.681 2.580 -2.418
3.018 -1.367 -4.806
-5.322 -6.840 -1.396
Cr Ir Ga
2 8 6
direct
0.000 0.500 0.000
0.000 0.500 0.500
0.500 0.749 0.000
0.500 0.749 0.500
0.500 0.251 0.000
0.500 0.251 0.500
0.063 0.750 0.750
0.937 0.750 0.250
0.937 0.250 0.250
0.063 0.250 0.750
0.000 0.000 0.000
0.000 0.000 0.500
0.554 0.000 0.750
0.446 0.000 0.250
0.563 0.500 0.750
0.437 0.500 0.250
```

Question: Among the records above, which one has the highest calculated total energy?
Answer: HgC3I

Question: The highest calculated total energy belongs to which entry?
Answer: HgC3I

Question: What is the calculated total energy in the twelfth record?
Answer: -113.4 eV/cell

Question: What is the formula in the third record?
Answer: Zr2InPt